The following is a PBE+U calculation of a geometry-optimized Co3P2O8 structure, from OQMD.

Cell lengths 6.3747, 6.3747, 4.6356 Å; angles 90.02, 90.02, 60.03 degrees
Site moments in Bohr magnetons follow the coordinates.
Atoms (fractional coordinates):
P 0.3335 0.3335 0.4055  0.01
P 0.6665 0.6665 0.5945  0.01
O 0.5946 0.2030 0.2764  0.08
O 0.3334 0.3334 0.7432  0.08
O 0.2030 0.5946 0.2764  0.08
O 0.4054 0.7970 0.7236  0.08
O 0.7970 0.4054 0.7236  0.08
O 0.7973 0.7973 0.7231  0.08
O 0.2027 0.2027 0.2769  0.08
O 0.6666 0.6666 0.2568  0.08
Co 0.0000 0.5000 0.0000  2.71
Co 0.5000 0.0000 0.0000  2.72
Co 0.5000 0.5000 0.0000  2.71

* ρ: 3732 kg/m³
* distance to the lowest polymorph of the same formula: 118.3 meV per atom
* total magnetic moment: 9.00 μB per cell
* E: -87.3 eV/cell